! GaNi2GeO6, relaxed, DFT PBE+U; values from VASP
! uncorrected energy: -55.8 eV/cell
! D(E_F): 3.4 states/eV per cell
&SYSTEM
  ibrav = 0, nat = 10, ntyp = 4
/
ATOMIC_SPECIES
Ga 69.72 Ga.upf
Ni 58.69 Ni.upf
Ge 72.64 Ge.upf
O 16.00 O.upf
ATOMIC_POSITIONS angstrom
Ga 0.0000 0.0000 0.0000
Ni 0.0029 0.0108 2.7843
Ni 2.5120 1.4541 0.5889
Ge 2.5124 -1.4419 2.3492
O -0.6935 1.3881 1.4833
O 1.0180 -1.4562 3.6857
O 1.5455 -0.0813 1.4790
O 0.7684 1.6361 3.6854
O 1.6665 3.0624 1.4753
O 3.2389 -0.1328 3.6857
CELL_PARAMETERS angstrom
5.0189 0.0000 0.0000
-2.5037 4.3505 0.0000
-0.0019 -2.8855 4.5082